First-principles (PBE+U) data for an optimized crystal structure of Fe3P2O10, as listed in Alexandria.

Summary:
spin magnetization: 0.9301 μB per atom
E_tot: -0.253 hartree per atom
offset from the most stable computed form: 0 meV/atom

abc: 7.4179 7.3827 7.4509
angles: 61.33 90.00 90.00
With the nearest neighbours (Å) after each atom.
Positions (direct):
O 0.2663 0.5882 0.0720  1 P 1.56
O 0.9944 0.3053 0.7946  1 P 1.57
O 0.5138 0.1690 0.7429  1 P 1.53
O 0.6488 0.5012 0.2065  3 Fe 1.90-2.09
O 0.9862 0.6690 0.7429  1 P 1.53
O 0.3512 0.4988 0.7935  3 Fe 1.90-2.09
O 0.8512 0.0012 0.2065  3 Fe 1.90-2.09
O 0.2337 0.0882 0.0720  1 P 1.56
O 0.0138 0.3310 0.2571  1 P 1.53
O 0.2333 0.4358 0.4513  1 P 1.52
O 0.5056 0.8053 0.7946  1 P 1.57
O 0.4862 0.8310 0.2571  1 P 1.53
O 0.0056 0.6947 0.2054  1 P 1.57
O 0.2667 0.9358 0.4513  1 P 1.52
O 0.1488 0.9988 0.7935  3 Fe 1.90-2.09
O 0.7337 0.4118 0.9280  1 P 1.56
O 0.7333 0.0642 0.5487  1 P 1.52
O 0.7667 0.5642 0.5487  1 P 1.52
O 0.4944 0.1947 0.2054  1 P 1.57
O 0.7663 0.9118 0.9280  1 P 1.56
Fe 0.7246 0.7270 0.2598  4 O 1.92-2.09
Fe 0.2246 0.7730 0.7402  4 O 1.92-2.09
Fe 0.5000 0.5000 0.0000  6 O 1.90-2.03
Fe 0.2754 0.2730 0.7402  4 O 1.92-2.09
Fe 0.7754 0.2270 0.2598  4 O 1.92-2.09
Fe 0.0000 0.0000 0.0000  6 O 1.90-2.03
P 0.1290 0.5045 0.2530  4 O 1.52-1.57
P 0.8710 0.4955 0.7470  4 O 1.52-1.57
P 0.3710 0.0045 0.2530  4 O 1.52-1.57
P 0.6290 0.9955 0.7470  4 O 1.52-1.57